VASP calculation (PBE-GGA) on ZnGa2HgIr after structural relaxation.

The structure in CIF format:
```
data_ZnGa2HgIr
_cell_length_a 4.826
_cell_length_b 4.826
_cell_length_c 4.965
_cell_angle_alpha 90.00
_cell_angle_beta 90.00
_cell_angle_gamma 90.00
_space_group_name_H-M_alt 'P 1'
_space_group_IT_number 1
loop_
_space_group_symop_operation_xyz
'x,y,z'
loop_
_atom_site_label
_atom_site_type_symbol
_atom_site_fract_x
_atom_site_fract_y
_atom_site_fract_z
Zn1 Zn 0.000 0.000 0.500
Ga1 Ga 0.000 0.500 0.000
Hg1 Hg 0.500 0.500 0.500
Ir1 Ir 0.000 0.000 0.000
Ga2 Ga 0.500 0.000 0.000
```

Values from the calculation:
Uncorrected energy in eV/atom: -3.437
Fermi-level density of states in states/eV/cell: 1.7
V in Å³/cell: 115.6